The following is a PBE with a Hubbard U calculation of a geometry-optimized TlVTc2F structure, from the Alexandria database.

Summary:
Space group: No. 123
Total magnetization, μB/atom: 0.535
Crystal system: tetragonal
E_tot, eV per cell: -27.04
D(E_F), states/eV/cell: 6.97

a = 4.163 Å, b = 4.163 Å, c = 4.830 Å
α = 90.00°, β = 90.00°, γ = 90.00°
Positions (direct):
Tl  0.000  0.000  0.000
V  0.500  0.500  0.000
Tc  0.000  0.500  0.500
Tc  0.500  0.000  0.500
F  0.000  0.000  0.500